No. 1
Below is an optimized crystal structure of Na2Pm3YSe6, with properties calculated at the PBE level.

Structure (POSCAR):
```
Na2Pm3YSe6
1.0
-2.735 5.342 4.056
-3.432 -6.367 -0.386
5.630 -1.918 4.172
Na Pm Y Se
2 3 1 6
direct
0.334 0.666 0.000
0.666 0.334 0.000
0.170 0.830 0.500
0.830 0.170 0.500
0.500 0.500 0.500
0.000 0.000 0.000
0.918 0.591 0.754
0.757 0.757 0.250
0.082 0.409 0.246
0.591 0.918 0.754
0.243 0.243 0.750
0.409 0.082 0.246
```

Computed properties:
E_form (uncorrected)	-1735	meV per atom
crystal system	monoclinic
space group	C2/m, No. 12
uncorrected energy	-5.4231	eV per atom
V	25.967	Å³ per atom
M_tot	0.0	Bohr magnetons per cell


No. 2
Below is an optimized crystal structure of Na2PmZn2Se4, with properties calculated at the PBE level.

Structure (POSCAR):
```
Na2PmZn2Se4
1.0
4.103 0.000 0.000
0.000 8.001 -0.036
-2.051 -3.195 6.957
Na Pm Zn Se
2 1 2 4
direct
0.121 0.563 0.243
0.879 0.437 0.757
0.000 0.000 0.000
0.669 0.979 0.338
0.331 0.021 0.662
0.219 0.190 0.438
0.781 0.810 0.562
0.502 0.732 0.003
0.498 0.268 0.997
```

Computed properties:
E_form (uncorrected)	-992	meV per atom
crystal system	monoclinic
space group	C2/m, No. 12
uncorrected energy	-3.6446	eV per atom
V	25.325	Å³ per atom
M_tot	0.0	Bohr magnetons per cell


No. 3
Below is an optimized crystal structure of NaPmZnSe3, with properties calculated at the PBE level.

Structure (POSCAR):
```
NaPmZnSe3
1.0
4.165 0.000 0.000
0.000 8.484 -0.139
0.000 -2.423 9.863
Na Pm Zn Se
2 2 2 6
direct
0.250 0.184 0.172
0.750 0.816 0.828
0.250 0.671 0.152
0.750 0.329 0.848
0.250 0.079 0.603
0.750 0.921 0.397
0.750 0.920 0.154
0.250 0.080 0.846
0.250 0.785 0.461
0.750 0.215 0.539
0.750 0.430 0.148
0.250 0.570 0.852
```

Computed properties:
E_form (uncorrected)	-1301	meV per atom
crystal system	monoclinic
space group	P2_1/m, No. 11
uncorrected energy	-4.2676	eV per atom
V	28.928	Å³ per atom
M_tot	0.0	Bohr magnetons per cell


No. 4
Below is an optimized crystal structure of Na3Pm2ZrSe6, with properties calculated at the PBE level.

Structure (POSCAR):
```
Na3Pm2ZrSe6
1.0
7.126 -0.003 -0.003
-3.564 6.171 -0.003
-1.191 -2.063 7.074
Na Pm Zr Se
3 2 1 6
direct
0.170 0.830 0.500
0.830 0.170 0.500
0.500 0.500 0.500
0.334 0.666 0.000
0.666 0.334 0.000
0.000 0.000 0.000
0.922 0.607 0.767
0.763 0.763 0.232
0.078 0.393 0.233
0.607 0.922 0.767
0.237 0.237 0.768
0.393 0.078 0.233
```

Computed properties:
E_form (uncorrected)	-1534	meV per atom
crystal system	monoclinic
space group	C2/m, No. 12
uncorrected energy	-5.1106	eV per atom
V	25.908	Å³ per atom
M_tot	0.0	Bohr magnetons per cell


No. 5
Below is an optimized crystal structure of NaPmSi3, with properties calculated at the PBE level.

Structure (POSCAR):
```
NaPmSi3
1.0
3.930 0.000 0.000
0.000 4.316 0.000
0.000 -2.158 12.597
Na Pm Si
2 2 6
direct
0.250 0.792 0.585
0.750 0.208 0.415
0.250 0.070 0.139
0.750 0.930 0.861
0.250 0.383 0.765
0.750 0.617 0.235
0.250 0.476 0.951
0.750 0.524 0.049
0.750 0.331 0.662
0.250 0.669 0.338
```

Computed properties:
E_form (uncorrected)	-357	meV per atom
crystal system	orthorhombic
space group	Cmcm, No. 63
uncorrected energy	-4.8250	eV per atom
V	21.368	Å³ per atom
M_tot	0.0	Bohr magnetons per cell


No. 6
Below is an optimized crystal structure of NaPm12Si6, with properties calculated at the PBE level.

Structure (POSCAR):
```
NaPm12Si6
1.0
-7.999 -0.948 -3.511
0.849 -7.046 5.181
-0.986 6.644 5.666
Na Pm Si
1 12 6
direct
0.000 0.000 0.000
0.868 0.132 0.500
0.818 0.544 0.544
0.544 0.544 0.818
0.456 0.182 0.456
0.456 0.456 0.182
0.182 0.456 0.456
0.132 0.500 0.868
0.500 0.868 0.132
0.132 0.868 0.500
0.868 0.500 0.132
0.500 0.132 0.868
0.544 0.818 0.544
0.674 0.243 0.243
0.243 0.243 0.674
0.243 0.674 0.243
0.757 0.757 0.326
0.326 0.757 0.757
0.757 0.326 0.757
```

Computed properties:
E_form (uncorrected)	-331	meV per atom
crystal system	trigonal
space group	R-3m, No. 166
uncorrected energy	-5.1134	eV per atom
V	32.035	Å³ per atom
M_tot	0.0	Bohr magnetons per cell